Record 1
DFT (PBE) results for a relaxed MgCoPb2 crystal.

Computed properties:
D(E_F) in states/eV per cell: 3.7
DFT total energy in eV per atom: -3.6425
Formation energy from the elements in kcal/mol of atoms: 8.92

Lattice parameters (Å, degrees): 4.7851 3.4429 5.8492 90.00 111.82 90.00
Closest atoms and distances in Å follow each position.
Space group P2/m (No. 10)
Symmetry-distinct sites (fractional):
1 Mg 0.0000 0.0000 0.0000 (multiplicity 1)  6 Pb 2.95-3.01
2 Co 0.0000 0.5000 0.5000 (multiplicity 1)  6 Pb 2.95-3.01
3 Pb 0.5000 0.0000 0.5000 (multiplicity 1)  4 Co 2.95, 2 Mg 3.01
4 Pb 0.5000 0.5000 0.0000 (multiplicity 1)  4 Mg 2.95, 2 Co 3.01

***

Record 2
DFT (PBE) results for a relaxed Na4DyY3Te8 crystal.

Computed properties:
DFT total energy in eV per atom: -4.7281
Formation energy without anion corrections in eV/atom: -1.33

Lattice parameters (Å, degrees): 8.8582 8.8582 22.7032 90.00 90.00 120.00
Closest atoms and distances in Å follow each position.
Space group R-3m (No. 166, hexagonal axes)
Symmetry-distinct sites (fractional):
1 Na 0.0000 0.0000 0.0000 (multiplicity 3)  6 Te 3.26
2 Na 0.0000 0.5000 0.0000 (multiplicity 9)  6 Te 3.26
3 Dy 0.0000 0.0000 0.5000 (multiplicity 3)  6 Te 3.10
4 Y 0.0000 0.5000 0.5000 (multiplicity 9)  6 Te 3.10
5 Te 0.0000 0.0000 0.2441 (multiplicity 6)  3 Y 3.10, 3 Na 3.26
6 Te 0.0003 0.5002 0.2441 (multiplicity 18)  1 Dy 3.10, 2 Y 3.10, 3 Na 3.26

***

Record 3
DFT (PBE) results for a relaxed ErSc4Zn5 crystal.

Computed properties:
D(E_F) in states/eV per cell: 9.5
DFT total energy in eV per atom: -3.9894
Formation energy from the elements in kcal/mol of atoms: -8.38

Lattice parameters (Å, degrees): 3.3851 3.3851 16.9637 90.00 90.00 90.00
Closest atoms and distances in Å follow each position.
Space group P4/mmm (No. 123)
Symmetry-distinct sites (fractional):
1 Er 0.0000 0.0000 0.0000 (multiplicity 1)  8 Zn 3.05, 4 Er 3.39
2 Sc 0.0000 0.0000 0.2065 (multiplicity 2)  8 Zn 2.89-2.91
3 Sc 0.0000 0.0000 0.4023 (multiplicity 2)  8 Zn 2.91-2.92
4 Zn 0.5000 0.5000 0.1113 (multiplicity 2)  4 Sc 2.89, 4 Er 3.05
5 Zn 0.5000 0.5000 0.3041 (multiplicity 2)  8 Sc 2.91-2.92
6 Zn 0.5000 0.5000 0.5000 (multiplicity 1)  8 Sc 2.91

***

Among the records above, which one has the lowest DFT total energy?
Na4DyY3Te8